Mn2Fe3SbP6O24 PBE+U relaxed; DFT total energy = -7.181 eV per atom; calculated volume = 462.0 Å³/cell
1.0
8.692 0.003 0.002
4.373 7.512 0.002
4.373 2.516 7.078
Mn O P Fe Sb
2 24 6 3 1
direct
0.500 0.500 0.500
0.005 0.005 0.005
0.994 0.388 0.185
0.761 0.564 0.409
0.740 0.082 0.940
0.510 0.303 0.115
0.082 0.940 0.740
0.267 0.915 0.055
0.409 0.761 0.564
0.013 0.616 0.805
0.886 0.503 0.685
0.440 0.587 0.239
0.915 0.055 0.267
0.303 0.115 0.510
0.055 0.267 0.915
0.239 0.440 0.587
0.185 0.994 0.388
0.940 0.740 0.082
0.587 0.239 0.440
0.115 0.510 0.303
0.564 0.409 0.761
0.805 0.013 0.616
0.616 0.805 0.013
0.685 0.886 0.503
0.503 0.685 0.886
0.388 0.185 0.994
0.539 0.252 0.956
0.455 0.746 0.045
0.746 0.045 0.455
0.045 0.455 0.746
0.252 0.956 0.539
0.956 0.539 0.252
0.354 0.354 0.354
0.146 0.146 0.146
0.644 0.644 0.644
0.856 0.856 0.856